Record 1
The following is a DFT calculation (PBE-GGA) of crystalline InCu2TeSe2 at its relaxed geometry.

Results
- Symmetry: Cc, No. 9

Cell and atoms, written as CIF:
```
data_InCu2TeSe2
_chemical_formula_sum 'In2 Cu4 Te2 Se4'
_cell_length_a 7.2036
_cell_length_b 7.2036
_cell_length_c 7.1810
_cell_angle_alpha 100.19
_cell_angle_beta 100.19
_cell_angle_gamma 119.91
_space_group_name_H-M_alt 'P 1'
_space_group_IT_number 1
loop_
_space_group_symop_operation_xyz
'x,y,z'
loop_
_atom_site_label
_atom_site_type_symbol
_atom_site_fract_x
_atom_site_fract_y
_atom_site_fract_z
Cu1 Cu 0.4126 0.5591 0.4818
Cu2 Cu 0.5591 0.4126 0.9818
Cu3 Cu 0.2310 0.7240 0.0035
Cu4 Cu 0.7240 0.2310 0.5035
Te1 Te 0.1209 0.5874 0.6238
Te2 Te 0.5874 0.1209 0.1238
In1 In 0.9170 0.0830 0.9947
In2 In 0.0830 0.9170 0.4947
Se1 Se 0.4702 0.3065 0.6257
Se2 Se 0.7551 0.9381 0.5993
Se3 Se 0.9381 0.7551 0.0993
Se4 Se 0.3065 0.4702 0.1257
```

=====

Record 2
The following is a DFT calculation (PBE-GGA) of crystalline InCuTe2WSe at its relaxed geometry.

Results
- Symmetry: Cmcm, No. 63

Cell and atoms, written as CIF:
```
data_InCuTe2WSe
_chemical_formula_sum 'In2 Cu2 Te4 W2 Se2'
_cell_length_a 7.9108
_cell_length_b 7.9108
_cell_length_c 9.7836
_cell_angle_alpha 90.00
_cell_angle_beta 90.00
_cell_angle_gamma 152.78
_space_group_name_H-M_alt 'P 1'
_space_group_IT_number 1
loop_
_space_group_symop_operation_xyz
'x,y,z'
loop_
_atom_site_label
_atom_site_type_symbol
_atom_site_fract_x
_atom_site_fract_y
_atom_site_fract_z
W1 W 0.0000 0.0000 0.0000
W2 W 0.0000 0.0000 0.5000
Cu1 Cu 0.5283 0.4717 0.2500
Cu2 Cu 0.4717 0.5283 0.7500
Te1 Te 0.6333 0.3667 0.0461
Te2 Te 0.6333 0.3667 0.4539
Te3 Te 0.3667 0.6333 0.9539
Te4 Te 0.3667 0.6333 0.5461
Se1 Se 0.9309 0.0691 0.2500
Se2 Se 0.0691 0.9309 0.7500
In1 In 0.2645 0.7355 0.2500
In2 In 0.7355 0.2645 0.7500
```

=====

Record 3
The following is a DFT calculation (PBE-GGA) of crystalline ZrInCuTeSe2 at its relaxed geometry.

Results
- Symmetry: Cmcm, No. 63

Cell and atoms, written as CIF:
```
data_ZrInCuTeSe2
_chemical_formula_sum 'Zr2 In2 Cu2 Te2 Se4'
_cell_length_a 7.7798
_cell_length_b 7.7798
_cell_length_c 10.5683
_cell_angle_alpha 90.00
_cell_angle_beta 90.00
_cell_angle_gamma 151.12
_space_group_name_H-M_alt 'P 1'
_space_group_IT_number 1
loop_
_space_group_symop_operation_xyz
'x,y,z'
loop_
_atom_site_label
_atom_site_type_symbol
_atom_site_fract_x
_atom_site_fract_y
_atom_site_fract_z
Se1 Se 0.8773 0.1227 0.0574
Se2 Se 0.8773 0.1227 0.4426
Se3 Se 0.1227 0.8773 0.5574
Se4 Se 0.1227 0.8773 0.9426
Cu1 Cu 0.0335 0.9665 0.7500
Cu2 Cu 0.9665 0.0335 0.2500
Zr1 Zr 0.5000 0.5000 0.0000
Zr2 Zr 0.5000 0.5000 0.5000
Te1 Te 0.4158 0.5843 0.7500
Te2 Te 0.5843 0.4158 0.2500
In1 In 0.7262 0.2738 0.7500
In2 In 0.2738 0.7262 0.2500
```

=====

Record 4
The following is a DFT calculation (PBE-GGA) of crystalline ZrInCuTe2Se at its relaxed geometry.

Results
- Symmetry: Cmcm, No. 63

Cell and atoms, written as CIF:
```
data_ZrInCuTe2Se
_chemical_formula_sum 'Zr2 In2 Cu2 Te4 Se2'
_cell_length_a 7.8021
_cell_length_b 7.8021
_cell_length_c 10.3149
_cell_angle_alpha 90.00
_cell_angle_beta 90.00
_cell_angle_gamma 150.40
_space_group_name_H-M_alt 'P 1'
_space_group_IT_number 1
loop_
_space_group_symop_operation_xyz
'x,y,z'
loop_
_atom_site_label
_atom_site_type_symbol
_atom_site_fract_x
_atom_site_fract_y
_atom_site_fract_z
Se1 Se 0.0659 0.9341 0.2500
Se2 Se 0.9341 0.0659 0.7500
In1 In 0.2625 0.7375 0.7500
In2 In 0.7375 0.2625 0.2500
Te1 Te 0.6387 0.3613 0.9473
Te2 Te 0.6387 0.3613 0.5527
Te3 Te 0.3613 0.6387 0.0527
Te4 Te 0.3613 0.6387 0.4473
Cu1 Cu 0.4702 0.5298 0.2500
Cu2 Cu 0.5298 0.4702 0.7500
Zr1 Zr 0.0000 0.0000 0.0000
Zr2 Zr 0.0000 0.0000 0.5000
```

=====

Record 5
The following is a DFT calculation (PBE-GGA) of crystalline TlInCu2Se4 at its relaxed geometry.

Results
- Symmetry: I-4, No. 82

Cell and atoms, written as CIF:
```
data_TlInCu2Se4
_chemical_formula_sum 'Tl1 In1 Cu2 Se4'
_cell_length_a 7.2599
_cell_length_b 7.2599
_cell_length_c 7.2599
_cell_angle_alpha 132.01
_cell_angle_beta 132.01
_cell_angle_gamma 70.22
_space_group_name_H-M_alt 'P 1'
_space_group_IT_number 1
loop_
_space_group_symop_operation_xyz
'x,y,z'
loop_
_atom_site_label
_atom_site_type_symbol
_atom_site_fract_x
_atom_site_fract_y
_atom_site_fract_z
Cu1 Cu 0.7500 0.2500 0.5000
Cu2 Cu 0.5000 0.5000 0.0000
Tl1 Tl 0.2500 0.7500 0.5000
Se1 Se 0.4109 0.3647 0.5318
Se2 Se 0.8329 0.8791 0.4682
Se3 Se 0.1209 0.5891 0.9538
Se4 Se 0.6353 0.1671 0.0462
In1 In 0.0000 0.0000 0.0000
```

=====

Record 6
The following is a DFT calculation (PBE-GGA) of crystalline InCu3WSe4 at its relaxed geometry.

Results
- Symmetry: P-43m, No. 215

Cell and atoms, written as CIF:
```
data_InCu3WSe4
_chemical_formula_sum 'In1 Cu3 W1 Se4'
_cell_length_a 6.0605
_cell_length_b 6.0605
_cell_length_c 6.0605
_cell_angle_alpha 90.00
_cell_angle_beta 90.00
_cell_angle_gamma 90.00
_space_group_name_H-M_alt 'P 1'
_space_group_IT_number 1
loop_
_space_group_symop_operation_xyz
'x,y,z'
loop_
_atom_site_label
_atom_site_type_symbol
_atom_site_fract_x
_atom_site_fract_y
_atom_site_fract_z
Se1 Se 0.7307 0.2693 0.7307
Se2 Se 0.7307 0.7307 0.2693
Se3 Se 0.2693 0.2693 0.2693
Se4 Se 0.2693 0.7307 0.7307
W1 W 0.5000 0.5000 0.5000
Cu1 Cu 0.0000 0.5000 0.5000
Cu2 Cu 0.5000 0.5000 0.0000
Cu3 Cu 0.5000 0.0000 0.5000
In1 In 0.0000 0.0000 0.0000
```

=====

Record 7
The following is a DFT calculation (PBE-GGA) of crystalline InCuWSe3 at its relaxed geometry.

Results
- Symmetry: Cmcm, No. 63

Cell and atoms, written as CIF:
```
data_InCuWSe3
_chemical_formula_sum 'In2 Cu2 W2 Se6'
_cell_length_a 7.6202
_cell_length_b 7.6202
_cell_length_c 9.6729
_cell_angle_alpha 90.00
_cell_angle_beta 90.00
_cell_angle_gamma 26.77
_space_group_name_H-M_alt 'P 1'
_space_group_IT_number 1
loop_
_space_group_symop_operation_xyz
'x,y,z'
loop_
_atom_site_label
_atom_site_type_symbol
_atom_site_fract_x
_atom_site_fract_y
_atom_site_fract_z
Se1 Se 0.9289 0.9289 0.2500
Se2 Se 0.3731 0.3731 0.5413
Se3 Se 0.6269 0.6269 0.4587
Se4 Se 0.0711 0.0711 0.7500
Se5 Se 0.3731 0.3731 0.9587
Se6 Se 0.6269 0.6269 0.0413
Cu1 Cu 0.4591 0.4591 0.7500
Cu2 Cu 0.5409 0.5409 0.2500
In1 In 0.7493 0.7493 0.7500
In2 In 0.2507 0.2507 0.2500
W1 W 0.0000 0.0000 0.5000
W2 W 0.0000 0.0000 0.0000
```

=====

Record 8
The following is a DFT calculation (PBE-GGA) of crystalline ZrInCu2Se4 at its relaxed geometry.

Results
- Symmetry: I-4, No. 82

Cell and atoms, written as CIF:
```
data_ZrInCu2Se4
_chemical_formula_sum 'Zr1 In1 Cu2 Se4'
_cell_length_a 7.3067
_cell_length_b 7.3067
_cell_length_c 7.3067
_cell_angle_alpha 132.71
_cell_angle_beta 132.71
_cell_angle_gamma 69.12
_space_group_name_H-M_alt 'P 1'
_space_group_IT_number 1
loop_
_space_group_symop_operation_xyz
'x,y,z'
loop_
_atom_site_label
_atom_site_type_symbol
_atom_site_fract_x
_atom_site_fract_y
_atom_site_fract_z
Se1 Se 0.6060 0.1522 0.0185
Se2 Se 0.8478 0.8663 0.4538
Se3 Se 0.1337 0.5875 0.9815
Se4 Se 0.4125 0.3940 0.5462
In1 In 0.0000 0.0000 0.0000
Cu1 Cu 0.7500 0.2500 0.5000
Cu2 Cu 0.5000 0.5000 0.0000
Zr1 Zr 0.2500 0.7500 0.5000
```

=====

Record 9
The following is a DFT calculation (PBE-GGA) of crystalline InCu2Si at its relaxed geometry.

Results
- Symmetry: Pm-3m, No. 221

Cell and atoms, written as CIF:
```
data_InCu2Si
_chemical_formula_sum 'In4 Cu8 Si4'
_cell_length_a 6.2898
_cell_length_b 6.2898
_cell_length_c 6.2898
_cell_angle_alpha 90.00
_cell_angle_beta 90.00
_cell_angle_gamma 90.00
_space_group_name_H-M_alt 'P 1'
_space_group_IT_number 1
loop_
_space_group_symop_operation_xyz
'x,y,z'
loop_
_atom_site_label
_atom_site_type_symbol
_atom_site_fract_x
_atom_site_fract_y
_atom_site_fract_z
Si1 Si 0.5000 0.0000 0.5000
Si2 Si 0.5000 0.5000 0.0000
Si3 Si 0.0000 0.5000 0.5000
Si4 Si 0.5000 0.5000 0.5000
Cu1 Cu 0.7228 0.7228 0.7228
Cu2 Cu 0.2772 0.7228 0.7228
Cu3 Cu 0.7228 0.2772 0.2772
Cu4 Cu 0.2772 0.2772 0.2772
Cu5 Cu 0.7228 0.7228 0.2772
Cu6 Cu 0.2772 0.7228 0.2772
Cu7 Cu 0.2772 0.2772 0.7228
Cu8 Cu 0.7228 0.2772 0.7228
In1 In 0.5000 0.0000 0.0000
In2 In 0.0000 0.0000 0.0000
In3 In 0.0000 0.5000 0.0000
In4 In 0.0000 0.0000 0.5000
```

=====

Record 10
The following is a DFT calculation (PBE-GGA) of crystalline InCuSi2 at its relaxed geometry.

Results
- Symmetry: F-43m, No. 216

Cell and atoms, written as CIF:
```
data_InCuSi2
_chemical_formula_sum 'In1 Cu1 Si2'
_cell_length_a 4.5798
_cell_length_b 4.5798
_cell_length_c 4.5798
_cell_angle_alpha 60.00
_cell_angle_beta 60.00
_cell_angle_gamma 60.00
_space_group_name_H-M_alt 'P 1'
_space_group_IT_number 1
loop_
_space_group_symop_operation_xyz
'x,y,z'
loop_
_atom_site_label
_atom_site_type_symbol
_atom_site_fract_x
_atom_site_fract_y
_atom_site_fract_z
In1 In 0.5000 0.5000 0.5000
Si1 Si 0.7500 0.7500 0.7500
Si2 Si 0.0000 0.0000 0.0000
Cu1 Cu 0.2500 0.2500 0.2500
```

=====

Record 11
The following is a DFT calculation (PBE-GGA) of crystalline InCu2Si at its relaxed geometry.

Results
- Symmetry: Pm-3m, No. 221

Cell and atoms, written as CIF:
```
data_InCu2Si
_chemical_formula_sum 'In4 Cu8 Si4'
_cell_length_a 6.2958
_cell_length_b 6.2958
_cell_length_c 6.2958
_cell_angle_alpha 90.00
_cell_angle_beta 90.00
_cell_angle_gamma 90.00
_space_group_name_H-M_alt 'P 1'
_space_group_IT_number 1
loop_
_space_group_symop_operation_xyz
'x,y,z'
loop_
_atom_site_label
_atom_site_type_symbol
_atom_site_fract_x
_atom_site_fract_y
_atom_site_fract_z
Si1 Si 0.0000 0.0000 0.0000
Si2 Si 0.0000 0.0000 0.5000
Si3 Si 0.5000 0.0000 0.0000
Si4 Si 0.0000 0.5000 0.0000
Cu1 Cu 0.7771 0.7771 0.7771
Cu2 Cu 0.2229 0.2229 0.2229
Cu3 Cu 0.2229 0.7771 0.7771
Cu4 Cu 0.7771 0.2229 0.2229
Cu5 Cu 0.2229 0.7771 0.2229
Cu6 Cu 0.7771 0.2229 0.7771
Cu7 Cu 0.2229 0.2229 0.7771
Cu8 Cu 0.7771 0.7771 0.2229
In1 In 0.0000 0.5000 0.5000
In2 In 0.5000 0.5000 0.5000
In3 In 0.5000 0.0000 0.5000
In4 In 0.5000 0.5000 0.0000
```

=====

Short version: DFT total energy = -3.683, -4.818, -4.892, -4.755, -3.652, -4.511, -5.102, -4.611, -3.678, -3.818, -3.678 eV/atom, in the order given.